The following is a meta-GGA SCAN calculation of Li3HfIn at its PBEsol-relaxed geometry, from the Alexandria database.

Properties
The total magnetization comes out at 0.00 μB/f.u. Its electronic total energy is -20.013 eV per atom. As for the formation energy: 0.63 eV per atom.

Lattice parameters (Å, degrees): 4.6480 4.6480 4.6480 90.00 90.00 90.00
With the nearest neighbours (Å) after each atom.
Space group Pm-3m (No. 221)
One atom of each set of equivalent atoms:
1 Li 0.0000 0.0000 0.5000 (multiplicity 3)  2 In 2.32
2 Hf 0.5000 0.5000 0.5000 (multiplicity 1)  12 Li 3.29
3 In 0.0000 0.0000 0.0000 (multiplicity 1)  6 Li 2.32



The following is a meta-GGA SCAN calculation of LiHfIn at its PBEsol-relaxed geometry, from the Alexandria database.

Properties
The total magnetization comes out at 0.00 μB/f.u. Its electronic total energy is -33.113 eV per atom. As for the formation energy: -0.30 eV per atom.

Lattice parameters (Å, degrees): 3.1198 3.1198 11.8403 90.00 90.00 90.00
With the nearest neighbours (Å) after each atom.
Space group P4/nmm (No. 129, origin choice 2)
One atom of each set of equivalent atoms:
1 Li 0.2500 0.2500 0.0700 (multiplicity 2)  4 Li 2.76, 4 In 2.81
2 Hf 0.2500 0.2500 0.4099 (multiplicity 2)  8 Hf 3.07-3.12, 4 In 3.18
3 In 0.2500 0.2500 0.7834 (multiplicity 2)  4 Li 2.81, 4 In 3.12